Th6Co2HgSe3 (PBE, optimized geometry); formation energy without anion corrections = -0.86 eV/atom; electronic total energy = -6.648 eV/atom; space-group type = C2/m, No. 12; N(E_F) = 8.963 states/eV/cell
1.0
-2.356 -3.236 -1.294
6.286 -2.350 -5.563
2.924 -2.784 8.473
Th Co Hg Se
6 2 1 3
Cartesian
6.686 -4.949 0.203
3.027 -4.537 -1.002
0.168 -3.421 1.412
1.781 -0.819 -1.192
5.074 -7.551 2.807
3.828 -3.833 2.617
4.116 -6.059 0.821
2.738 -2.311 0.794
-1.178 -1.618 -0.647
1.965 -2.793 -3.429
1.056 -5.023 3.802
5.799 -3.347 -2.187

Sc2Co2Re (PBE, optimized geometry); electronic total energy = -8.045 eV/atom; space-group type = P4/mbm, No. 127; calculated formation energy = -17 kJ per mole of atoms; N(E_F) = 9.572 states/eV/cell
1.0
-3.552 -3.731 3.417
5.023 -3.099 1.838
0.407 2.581 3.241
Sc Re Co
4 2 4
Cartesian
2.978 -1.483 3.481
1.914 -3.787 5.450
-1.101 -2.766 5.015
-0.037 -0.462 3.046
0.000 0.000 0.000
0.735 -3.415 2.627
3.050 -4.051 2.843
0.107 -5.196 4.124
-1.579 -2.780 2.412
1.364 -1.634 1.130

ZnHgS2 (PBE, optimized geometry); formation energy without anion corrections = -0.21 eV/atom; electronic total energy = -2.664 eV/atom; space-group type = I4_1/amd, No. 141; N(E_F) = 1.664 states/eV/cell
1.0
5.314 0.000 0.000
0.000 5.314 0.000
2.657 2.657 5.477
S Zn Hg
4 2 2
Cartesian
5.314 5.314 3.001
2.657 5.314 5.215
2.657 2.657 2.476
2.657 5.314 0.263
2.657 2.657 0.000
2.657 5.314 2.739
0.000 0.000 0.000
5.314 2.657 2.739

SrNiAsPb2 (PBE, optimized geometry); electronic total energy = -3.369 eV/atom; space-group type = P4/mmm, No. 123; calculated formation energy = 52 kJ per mole of atoms; N(E_F) = 5.010 states/eV/cell
1.0
5.583 0.000 0.000
0.000 5.775 0.000
0.000 0.000 5.583
Pb Sr As Ni
2 1 1 1
Cartesian
0.000 0.000 2.791
2.791 0.000 0.000
0.000 2.888 0.000
0.000 0.000 0.000
2.791 2.888 2.791

AcPrSm3 (PBE, optimized geometry); electronic total energy = -4.512 eV/atom; space-group type = C2/m, No. 12; calculated formation energy = 9 kJ per mole of atoms; N(E_F) = 16.308 states/eV/cell
1.0
3.665 -0.001 0.000
1.830 11.831 3.398
-0.001 1.356 8.894
Ac Pr Sm
2 2 6
Cartesian
1.040 5.197 8.959
2.874 5.238 3.045
4.703 10.483 5.986
4.706 11.782 9.416
1.041 1.862 3.371
2.870 8.753 3.331
1.043 1.682 8.673
2.875 3.523 6.136
2.872 8.574 8.633
1.039 6.913 5.868

Dy4InPbC (PBE, optimized geometry); electronic total energy = -5.317 eV/atom; space-group type = Cmcm, No. 63; calculated formation energy = -43 kJ per mole of atoms; N(E_F) = 9.646 states/eV/cell
1.0
6.872 0.000 0.000
0.000 6.867 0.000
-3.436 0.000 7.922
Dy In Pb C
8 2 2 2
Cartesian
3.436 1.717 6.478
0.000 5.150 6.499
0.000 5.150 1.444
3.436 1.717 1.423
1.718 3.433 3.961
-1.718 0.000 3.961
1.718 0.000 3.961
-1.718 3.433 3.961
3.436 5.150 1.790
0.000 1.717 6.132
0.000 1.717 1.746
3.436 5.150 6.177
0.000 5.150 3.975
3.436 1.717 3.947